Entry 1:
Density functional theory data (meta-GGA SCAN) for a PBEsol-optimized structure of MgTeSI2.

a = 5.360 Å, b = 5.360 Å, c = 5.648 Å
α = 90.00°, β = 90.00°, γ = 90.00°
Positions (direct):
Mg 0.000 0.000 0.000
Te 0.000 0.000 0.500
S 0.500 0.500 0.500
I 0.000 0.500 0.000
I 0.500 0.000 0.000

Computed properties:
Raw formation energy ... 0.29 eV/atom
Space-group type ... No. 123
D(E_F) ... 3.9 states/eV/cell

---

Entry 2:
Density functional theory data (meta-GGA SCAN) for a PBEsol-optimized structure of MgSb2SeI.

a = 5.421 Å, b = 5.421 Å, c = 5.454 Å
α = 90.00°, β = 90.00°, γ = 90.00°
Positions (direct):
Mg 0.000 0.000 0.000
Sb 0.000 0.500 0.500
Sb 0.500 0.000 0.500
Se 0.500 0.500 0.500
I 0.500 0.500 0.000

Computed properties:
Raw formation energy ... 0.58 eV/atom
Space-group type ... No. 123
D(E_F) ... 6.1 states/eV/cell

---

Entry 3:
Density functional theory data (meta-GGA SCAN) for a PBEsol-optimized structure of MgSbSeI2.

a = 5.302 Å, b = 5.302 Å, c = 5.792 Å
α = 90.00°, β = 90.00°, γ = 90.00°
Positions (direct):
Mg 0.000 0.000 0.000
Sb 0.000 0.000 0.500
Se 0.500 0.500 0.500
I 0.000 0.500 0.000
I 0.500 0.000 0.000

Computed properties:
Raw formation energy ... 0.26 eV/atom
Space-group type ... No. 123
D(E_F) ... 3.2 states/eV/cell

---

Entry 4:
Density functional theory data (meta-GGA SCAN) for a PBEsol-optimized structure of MgZrSb2I.

a = 5.215 Å, b = 5.215 Å, c = 5.420 Å
α = 90.00°, β = 90.00°, γ = 90.00°
Positions (direct):
Mg 0.000 0.000 0.000
Zr 0.500 0.500 0.500
Sb 0.000 0.500 0.000
Sb 0.500 0.000 0.000
I 0.000 0.000 0.500

Computed properties:
Raw formation energy ... 0.57 eV/atom
Space-group type ... No. 123
D(E_F) ... 4.4 states/eV/cell

---

Entry 5:
Density functional theory data (meta-GGA SCAN) for a PBEsol-optimized structure of MgSc2I.

a = 10.418 Å, b = 10.418 Å, c = 10.418 Å
α = 19.68°, β = 19.68°, γ = 19.68°
Positions (direct):
Mg 0.000 0.000 0.000
Sc 0.410 0.410 0.410
Sc 0.590 0.590 0.590
I 0.500 0.500 0.500

Computed properties:
Raw formation energy ... 0.00 eV/atom
Space-group type ... No. 166
D(E_F) ... 3.9 states/eV/cell

---

Entry 6:
Density functional theory data (meta-GGA SCAN) for a PBEsol-optimized structure of MgScI3.

a = 5.665 Å, b = 5.665 Å, c = 5.665 Å
α = 90.00°, β = 90.00°, γ = 90.00°
Positions (direct):
Mg 0.000 0.000 0.000
Sc 0.500 0.500 0.500
I 0.000 0.500 0.500
I 0.500 0.000 0.500
I 0.500 0.500 0.000

Computed properties:
Raw formation energy ... -0.65 eV/atom
Space-group type ... No. 221
D(E_F) ... 4.2 states/eV/cell

---

Entry 7:
Density functional theory data (meta-GGA SCAN) for a PBEsol-optimized structure of MgScTe2I.

a = 5.544 Å, b = 5.544 Å, c = 5.521 Å
α = 90.00°, β = 90.00°, γ = 90.00°
Positions (direct):
Mg 0.000 0.000 0.000
Sc 0.500 0.500 0.500
Te 0.000 0.500 0.500
Te 0.500 0.000 0.500
I 0.500 0.500 0.000

Computed properties:
Raw formation energy ... -0.45 eV/atom
Space-group type ... No. 123
D(E_F) ... 1.9 states/eV/cell

---

Entry 8:
Density functional theory data (meta-GGA SCAN) for a PBEsol-optimized structure of Mg2SeI2.

a = 7.756 Å, b = 7.756 Å, c = 4.995 Å
α = 90.00°, β = 90.00°, γ = 90.00°
Positions (direct):
Mg 0.228 0.272 0.000
Mg 0.272 0.772 0.000
Mg 0.728 0.228 0.000
Mg 0.772 0.728 0.000
Se 0.000 0.000 0.000
Se 0.500 0.500 0.000
I 0.160 0.660 0.500
I 0.340 0.160 0.500
I 0.660 0.840 0.500
I 0.840 0.340 0.500

Computed properties:
Raw formation energy ... -0.67 eV/atom
Space-group type ... No. 127
D(E_F) ... 1.2 states/eV/cell

---

Entry 9:
Density functional theory data (meta-GGA SCAN) for a PBEsol-optimized structure of MgSnSe2I.

a = 5.430 Å, b = 5.430 Å, c = 5.343 Å
α = 90.00°, β = 90.00°, γ = 90.00°
Positions (direct):
Mg 0.000 0.000 0.000
Sn 0.500 0.500 0.000
Se 0.000 0.500 0.500
Se 0.500 0.000 0.500
I 0.000 0.000 0.500

Computed properties:
Raw formation energy ... 0.57 eV/atom
Space-group type ... No. 123
D(E_F) ... 2.9 states/eV/cell

---

Entry 10:
Density functional theory data (meta-GGA SCAN) for a PBEsol-optimized structure of MgTeSeI2.

a = 5.323 Å, b = 5.323 Å, c = 5.740 Å
α = 90.00°, β = 90.00°, γ = 90.00°
Positions (direct):
Mg 0.000 0.000 0.000
Te 0.000 0.000 0.500
Se 0.500 0.500 0.500
I 0.000 0.500 0.000
I 0.500 0.000 0.000

Computed properties:
Raw formation energy ... 0.16 eV/atom
Space-group type ... No. 123
D(E_F) ... 3.6 states/eV/cell

---

Entry 11:
Density functional theory data (meta-GGA SCAN) for a PBEsol-optimized structure of MgZrSi2I.

a = 5.121 Å, b = 5.121 Å, c = 5.573 Å
α = 90.00°, β = 90.00°, γ = 90.00°
Positions (direct):
Mg 0.000 0.000 0.000
Zr 0.500 0.500 0.500
Si 0.000 0.500 0.500
Si 0.500 0.000 0.500
I 0.500 0.500 0.000

Computed properties:
Raw formation energy ... 0.63 eV/atom
Space-group type ... No. 123
D(E_F) ... 4.0 states/eV/cell

---

Entry 12:
Density functional theory data (meta-GGA SCAN) for a PBEsol-optimized structure of Mg2SnWI.

a = 5.326 Å, b = 5.326 Å, c = 5.885 Å
α = 90.00°, β = 90.00°, γ = 90.00°
Positions (direct):
Mg 0.000 0.500 0.000
Mg 0.500 0.000 0.000
Sn 0.000 0.000 0.000
W 0.500 0.500 0.500
I 0.000 0.000 0.500

Computed properties:
Raw formation energy ... 1.55 eV/atom
Space-group type ... No. 123
D(E_F) ... 2.5 states/eV/cell